No. 1
## TmTl3Sb2S6 (PBE)

Data for TmTl3Sb2S6 after structural relaxation.

a = 6.9900 Å, b = 12.1105 Å, c = 7.7926 Å
α = 90.00°, β = 107.40°, γ = 90.00°
With the nearest neighbours (Å) after each atom.
Space group C2/m (No. 12)
One atom of each set of equivalent atoms:
Tm 0.0000 0.0000 0.0000  6 S 2.73
Tl 0.0000 0.1669 0.5000  6 S 3.21-3.25
Tl 0.0000 0.5000 0.5000  6 S 3.21-3.26
Sb 0.0000 0.3335 0.0000  6 S 2.78
S 0.2305 0.1639 0.1996  1 Tm 2.73, 2 Sb 2.78
S 0.2385 0.5000 0.1994  1 Tm 2.73, 2 Sb 2.78

Crystal system: monoclinic

No. 2
## U3Tl3SbS8 (PBE)

Data for U3Tl3SbS8 after structural relaxation.

a = 8.0442 Å, b = 8.0442 Å, c = 22.7957 Å
α = 90.00°, β = 90.00°, γ = 120.00°
With the nearest neighbours (Å) after each atom.
Space group R-3m (No. 166, hexagonal axes)
One atom of each set of equivalent atoms:
U 0.0000 0.5000 0.0000  6 S 2.74-2.76
Tl 0.0000 0.5000 0.5000  6 S 3.28-3.30
Sb 0.0000 0.0000 0.0000  6 S 2.77
S 0.0000 0.0000 0.2682  3 U 2.76
S 0.0040 0.5020 0.2686  2 U 2.74, 1 Sb 2.77

DOS(E_F) (states/eV/atom): 0.997
Crystal system: trigonal

No. 3
## UTl3Sb3S8 (PBE)

Data for UTl3Sb3S8 after structural relaxation.

a = 8.0699 Å, b = 8.0699 Å, c = 22.5169 Å
α = 90.00°, β = 90.00°, γ = 120.00°
With the nearest neighbours (Å) after each atom.
Space group R-3m (No. 166, hexagonal axes)
One atom of each set of equivalent atoms:
U 0.0000 0.0000 0.0000  6 S 2.70
Tl 0.0000 0.5000 0.5000  6 S 3.22-3.24
Sb 0.0000 0.5000 0.0000  6 S 2.78-2.79
S 0.0000 0.0000 0.2653  3 Sb 2.79
S 0.0084 0.5042 0.7319  1 U 2.70, 2 Sb 2.78

DOS(E_F) (states/eV/atom): 0.670
Crystal system: trigonal

No. 4
## YTl3Sb2S6 (PBE)

Data for YTl3Sb2S6 after structural relaxation.

a = 7.0251 Å, b = 12.1694 Å, c = 7.7914 Å
α = 90.00°, β = 107.49°, γ = 90.00°
With the nearest neighbours (Å) after each atom.
Space group C2/m (No. 12)
One atom of each set of equivalent atoms:
Y 0.0000 0.0000 0.0000  6 S 2.77
Tl 0.0000 0.1661 0.5000  6 S 3.22-3.24
Tl 0.0000 0.5000 0.5000  6 S 3.22-3.24
Sb 0.0000 0.3335 0.0000  6 S 2.78-2.79
S 0.2332 0.1659 0.2013  1 Y 2.77, 2 Sb 2.78-2.79
S 0.2345 0.5000 0.1998  1 Y 2.77, 2 Sb 2.78

Crystal system: monoclinic

| no. | formation energy without anion corrections (eV per atom) | total DFT energy (no corrections) (eV/atom) |
| --- | --- | --- |
| 1 | -0.711 | -4.43 |
| 2 | -0.903 | -6.11 |
| 3 | -0.534 | -4.79 |
| 4 | -0.713 | -4.59 |